Entry 1:
The following is a GGA-PBE calculation of crystalline Be2CdRu at its relaxed geometry, from the Alexandria database.

abc: 5.329 5.329 3.438
angles: 71.19 71.19 34.93
Atoms (fractional coordinates):
Cd: 0.525 0.525 0.475
Be: 0.769 0.769 0.730
Be: 0.937 0.937 0.063
Ru: 0.269 0.269 0.231

Computed properties:
- Calculated volume: 52.6 Å³ per cell
- Total energy: -17.24 eV per cell



Entry 2:
The following is a GGA-PBE calculation of crystalline Th2UCr2C4 at its relaxed geometry, from the Alexandria database.

abc: 3.379 6.788 6.114
angles: 107.84 90.00 104.41
Atoms (fractional coordinates):
C: 0.461 0.921 0.241
Cr: 0.683 0.366 0.004
Th: 0.867 0.735 0.465
U: 0.000 0.000 0.000
Th: 0.133 0.265 0.535
C: 0.776 0.552 0.794
C: 0.224 0.448 0.206
C: 0.539 0.079 0.759
Cr: 0.317 0.634 0.996

Computed properties:
- Calculated volume: 128.8 Å³ per cell
- Total energy: -83.35 eV per cell